No. 1
# Nb2VCo PBE optimized geometry
# size of the total moment = 0.00 μB/atom
# energy of formation = 423 meV per atom
# ρ = 7.66 g/cm³
# excess energy over the best structure of this formula in the dataset = 473 meV/atom
data_Nb2VCo
_chemical_formula_sum 'Nb8 V4 Co4'
_cell_length_a 6.9700
_cell_length_b 6.9700
_cell_length_c 5.2806
_cell_angle_alpha 90.00
_cell_angle_beta 90.00
_cell_angle_gamma 90.00
_symmetry_space_group_name_H-M 'I -4 2 d'
_symmetry_Int_Tables_number 122
_symmetry_space_group_name_Hall 'I -4 2bw'
loop_
_atom_site_label
_atom_site_fract_x
_atom_site_fract_y
_atom_site_fract_z
_atom_site_occupancy
Nb1 0.2283 0.2500 0.1250 1
V1 0.0000 0.0000 0.5000 1
Co1 0.0000 0.0000 0.0000 1


No. 2
# Nb2VCo PBE optimized geometry
# size of the total moment = 0.20 μB/atom
# energy of formation = -18 meV per atom
# ρ = 8.13 g/cm³
# excess energy over the best structure of this formula in the dataset = 32 meV/atom
data_Nb2VCo
_chemical_formula_sum 'Nb8 V4 Co4'
_cell_length_a 6.2284
_cell_length_b 6.2284
_cell_length_c 6.2284
_cell_angle_alpha 90.00
_cell_angle_beta 90.00
_cell_angle_gamma 90.00
_symmetry_space_group_name_H-M 'F m -3 m'
_symmetry_Int_Tables_number 225
_symmetry_space_group_name_Hall '-F 4 2 3'
loop_
_atom_site_label
_atom_site_fract_x
_atom_site_fract_y
_atom_site_fract_z
_atom_site_occupancy
Nb1 0.2500 0.2500 0.2500 1
V1 0.0000 0.0000 0.0000 1
Co1 0.0000 0.0000 0.5000 1


No. 3
# NbVCo2 PBE optimized geometry
# size of the total moment = 0.29 μB/atom
# energy of formation = 609 meV per atom
# ρ = 7.22 g/cm³
# excess energy over the best structure of this formula in the dataset = 746 meV/atom
data_NbVCo2
_chemical_formula_sum 'Nb4 V4 Co8'
_cell_length_a 4.8693
_cell_length_b 5.5461
_cell_length_c 8.9104
_cell_angle_alpha 90.00
_cell_angle_beta 90.00
_cell_angle_gamma 90.00
_symmetry_space_group_name_H-M 'P m m a'
_symmetry_Int_Tables_number 51
_symmetry_space_group_name_Hall '-P 2a 2a'
loop_
_atom_site_label
_atom_site_fract_x
_atom_site_fract_y
_atom_site_fract_z
_atom_site_occupancy
Nb1 0.2500 0.0000 0.0828 1
Nb2 0.2500 0.5000 0.2984 1
V1 0.2500 0.0000 0.7695 1
V2 0.2500 0.5000 0.8003 1
Co1 0.0000 0.0000 0.5000 1
Co2 0.0000 0.5000 0.0000 1
Co3 0.2500 0.3071 0.5735 1


No. 4
# NbVCo2 PBE optimized geometry
# size of the total moment = 0.00 μB/atom
# energy of formation = 292 meV per atom
# ρ = 7.88 g/cm³
# excess energy over the best structure of this formula in the dataset = 428 meV/atom
data_NbVCo2
_chemical_formula_sum 'Nb4 V4 Co8'
_cell_length_a 6.5473
_cell_length_b 6.5473
_cell_length_c 5.1473
_cell_angle_alpha 90.00
_cell_angle_beta 90.00
_cell_angle_gamma 90.00
_symmetry_space_group_name_H-M 'I -4 2 d'
_symmetry_Int_Tables_number 122
_symmetry_space_group_name_Hall 'I -4 2bw'
loop_
_atom_site_label
_atom_site_fract_x
_atom_site_fract_y
_atom_site_fract_z
_atom_site_occupancy
Nb1 0.0000 0.0000 0.0000 1
V1 0.0000 0.0000 0.5000 1
Co1 0.2232 0.7500 0.6250 1


No. 5
# Nb2VCo3 PBE optimized geometry
# size of the total moment = 0.00 μB/atom
# energy of formation = -232 meV per atom
# ρ = 8.60 g/cm³
data_Nb2VCo3
_chemical_formula_sum 'Nb4 V2 Co6'
_cell_length_a 4.9099
_cell_length_b 4.9099
_cell_length_c 7.6472
_cell_angle_alpha 90.00
_cell_angle_beta 90.00
_cell_angle_gamma 120.00
_symmetry_space_group_name_H-M 'P 63/m m c'
_symmetry_Int_Tables_number 194
_symmetry_space_group_name_Hall '-P 6c 2c'
loop_
_atom_site_label
_atom_site_fract_x
_atom_site_fract_y
_atom_site_fract_z
_atom_site_occupancy
Nb1 0.3333 0.6667 0.0628 1
V1 0.0000 0.0000 0.0000 1
Co1 0.1723 0.3446 0.7500 1


No. 6
# NbVCo2 PBE optimized geometry
# size of the total moment = 0.00 μB/atom
# energy of formation = -136 meV per atom
# ρ = 8.31 g/cm³
# excess energy over the best structure of this formula in the dataset = 0 meV/atom
data_NbVCo2
_chemical_formula_sum 'Nb1 V1 Co2'
_cell_length_a 2.8265
_cell_length_b 2.8265
_cell_length_c 6.5483
_cell_angle_alpha 90.00
_cell_angle_beta 90.00
_cell_angle_gamma 90.00
_symmetry_space_group_name_H-M 'P 4/m m m'
_symmetry_Int_Tables_number 123
_symmetry_space_group_name_Hall '-P 4 2'
loop_
_atom_site_label
_atom_site_fract_x
_atom_site_fract_y
_atom_site_fract_z
_atom_site_occupancy
Nb1 0.0000 0.0000 0.0000 1
V1 0.0000 0.0000 0.5000 1
Co1 0.5000 0.5000 0.2940 1


Which formula does entry 2 have?
Nb2VCo